KTeOs2: optimized geometry, PBE.

Output
- Symmetry: R-3m, No. 166
- DFT total energy: -5.40 eV per atom

Lattice parameters (Å, degrees): 9.7634 9.7634 9.7634 18.76 18.76 18.76
Fractional positions:
K  0.0000  0.0000  0.0000
Te  0.5000  0.5000  0.5000
Os  0.2319  0.2319  0.2319
Os  0.7681  0.7681  0.7681